No. 1
# CaYI2 PBE relaxed
data_CaYI2
_symmetry_space_group_name_H-M 'I -4 2 d'
_symmetry_Int_Tables_number 122
_symmetry_space_group_name_Hall 'I -4 2bw'
_cell_length_a 7.073
_cell_length_b 7.073
_cell_length_c 13.894
_cell_angle_alpha 90.00
_cell_angle_beta 90.00
_cell_angle_gamma 90.00
loop_
_atom_site_label
_atom_site_type_symbol
_atom_site_fract_x
_atom_site_fract_y
_atom_site_fract_z
Ca1 Ca 0.000 0.000 0.000
Y1 Y 0.000 0.000 0.500
I1 I 0.247 0.250 0.625
# - D(E_F) (states/eV per cell) = 16.022
# - DFT total energy (eV for the cell shown) = -53.3
# - ΔE_f (raw) (meV/atom) = -442.1
# - V (Å³/f.u.) = 174



No. 2
# Cr2AgRh PBE relaxed
data_Cr2AgRh
_symmetry_space_group_name_H-M 'F -4 3 m'
_symmetry_Int_Tables_number 216
_symmetry_space_group_name_Hall 'F -4 2 3'
_cell_length_a 6.217
_cell_length_b 6.217
_cell_length_c 6.217
_cell_angle_alpha 90.00
_cell_angle_beta 90.00
_cell_angle_gamma 90.00
loop_
_atom_site_label
_atom_site_type_symbol
_atom_site_fract_x
_atom_site_fract_y
_atom_site_fract_z
Cr1 Cr 0.000 0.000 0.000
Cr2 Cr 0.250 0.250 0.250
Ag1 Ag 0.000 0.000 0.500
Rh1 Rh 0.250 0.250 0.750
# - ΔH_f (0 K) (eV/atom) = 0.349
# - D(E_F) (states/eV per cell) = 23.870
# - DFT total energy (eV for the cell shown) = -112.2
# - V (Å³/f.u.) = 60



No. 3
# LaFeNiSb2 PBE relaxed
data_LaFeNiSb2
_symmetry_space_group_name_H-M 'P 4/m m m'
_symmetry_Int_Tables_number 123
_symmetry_space_group_name_Hall '-P 4 2'
_cell_length_a 5.970
_cell_length_b 5.970
_cell_length_c 4.661
_cell_angle_alpha 90.00
_cell_angle_beta 90.00
_cell_angle_gamma 90.00
loop_
_atom_site_label
_atom_site_type_symbol
_atom_site_fract_x
_atom_site_fract_y
_atom_site_fract_z
La1 La 0.000 0.000 0.000
Fe1 Fe 0.000 0.000 0.500
Ni1 Ni 0.500 0.500 0.500
Sb1 Sb 0.000 0.500 0.000
# - D(E_F) (states/eV per cell) = 7.617
# - DFT total energy (eV for the cell shown) = -19.8
# - ΔE_f (raw) (meV/atom) = 1517.3
# - V (Å³/f.u.) = 166



No. 4
# RbCd2Br PBE relaxed
data_RbCd2Br
_symmetry_space_group_name_H-M 'I -4 2 d'
_symmetry_Int_Tables_number 122
_symmetry_space_group_name_Hall 'I -4 2bw'
_cell_length_a 9.945
_cell_length_b 9.945
_cell_length_c 6.523
_cell_angle_alpha 90.00
_cell_angle_beta 90.00
_cell_angle_gamma 90.00
loop_
_atom_site_label
_atom_site_type_symbol
_atom_site_fract_x
_atom_site_fract_y
_atom_site_fract_z
Rb1 Rb 0.000 0.000 0.000
Cd1 Cd 0.222 0.250 0.625
Br1 Br 0.000 0.000 0.500
# - D(E_F) (states/eV per cell) = 0.001
# - DFT total energy (eV for the cell shown) = -25.2
# - ΔE_f (raw) (meV/atom) = -457.4
# - V (Å³/f.u.) = 161



No. 5
# Ho7BBr12 PBE relaxed
data_Ho7BBr12
_symmetry_space_group_name_H-M 'R -3'
_symmetry_Int_Tables_number 148
_symmetry_space_group_name_Hall '-R 3'
_cell_length_a 14.5073
_cell_length_b 14.5073
_cell_length_c 9.7439
_cell_angle_alpha 90.00
_cell_angle_beta 90.00
_cell_angle_gamma 120.00
loop_
_atom_site_label
_atom_site_type_symbol
_atom_site_fract_x
_atom_site_fract_y
_atom_site_fract_z
Ho1 Ho 0.0000 0.0000 0.0000
Ho2 Ho 0.0439 0.8847 0.3519
B1 B 0.0000 0.0000 0.5000
Br1 Br 0.0234 0.4374 0.1636
Br2 Br 0.0507 0.8685 0.8384
# - D(E_F) (states/eV per cell) = 36.276
# - DFT total energy (eV for the cell shown) = -270.4
# - ΔE_f (raw) (meV/atom) = -1567.7
# - V (Å³/f.u.) = 592



No. 6
# Mg6HIr3 PBE relaxed
data_Mg6HIr3
_symmetry_space_group_name_H-M 'C 1 2 1'
_symmetry_Int_Tables_number 5
_cell_length_a 8.794
_cell_length_b 6.198
_cell_length_c 7.265
_cell_angle_alpha 90.00
_cell_angle_beta 114.97
_cell_angle_gamma 90.00
loop_
_symmetry_equiv_pos_as_xyz
'x,y,z'
'-x,y,-z'
'x+1/2,y+1/2,z'
'-x+1/2,y+1/2,-z'
loop_
_atom_site_label
_atom_site_type_symbol
_atom_site_fract_x
_atom_site_fract_y
_atom_site_fract_z
Mg1 Mg 0.070 0.000 0.348
Mg2 Mg 0.096 0.485 0.290
Mg3 Mg 0.235 0.095 0.033
H1 H 0.000 0.435 0.500
Ir1 Ir 0.000 0.788 0.000
Ir2 Ir 0.173 0.286 0.673
# - D(E_F) (states/eV per cell) = 7.974
# - DFT total energy (eV for the cell shown) = -85.3
# - V (Å³/f.u.) = 179



Number 3 is which compound?
LaFeNiSb2



What is the formula in the fifth record?
Ho7BBr12